1.
The following is a DFT calculation (PBE) of crystalline SiSnTePb2 at its relaxed geometry.

Summary:
The volume is 37.01 A^3/atom. Its crystal system is tetragonal. For the uncorrected energy, the calculation gives -3.2684 eV/atom.

CIF file:
```
data_SiSnTePb2
_cell_length_a 5.9764
_cell_length_b 5.9764
_cell_length_c 5.1808
_cell_angle_alpha 90.00
_cell_angle_beta 90.00
_cell_angle_gamma 90.00
_symmetry_space_group_name_H-M 'P 4/m m m'
_symmetry_Int_Tables_number 123
_symmetry_space_group_name_Hall '-P 4 2'
loop_
_atom_site_label
_atom_site_type_symbol
_atom_site_fract_x
_atom_site_fract_y
_atom_site_fract_z
Si1 Si 0.0000 0.0000 0.0000
Sn1 Sn 0.5000 0.5000 0.0000
Te1 Te 0.0000 0.0000 0.5000
Pb1 Pb 0.0000 0.5000 0.5000
```

2.
The following is a DFT calculation (PBE) of crystalline TiSi2SnPb at its relaxed geometry.

Summary:
The volume is 28.75 A^3/atom. Its crystal system is tetragonal. For the uncorrected energy, the calculation gives -3.9434 eV/atom.

CIF file:
```
data_TiSi2SnPb
_cell_length_a 5.1889
_cell_length_b 5.1889
_cell_length_c 5.3381
_cell_angle_alpha 90.00
_cell_angle_beta 90.00
_cell_angle_gamma 90.00
_symmetry_space_group_name_H-M 'P 4/m m m'
_symmetry_Int_Tables_number 123
_symmetry_space_group_name_Hall '-P 4 2'
loop_
_atom_site_label
_atom_site_type_symbol
_atom_site_fract_x
_atom_site_fract_y
_atom_site_fract_z
Ti1 Ti 0.0000 0.0000 0.0000
Si1 Si 0.0000 0.5000 0.5000
Sn1 Sn 0.5000 0.5000 0.0000
Pb1 Pb 0.0000 0.0000 0.5000
```

3.
The following is a DFT calculation (PBE) of crystalline TlSi2SnPb at its relaxed geometry.

Summary:
The volume is 30.98 A^3/atom. Its crystal system is tetragonal. For the uncorrected energy, the calculation gives -3.3064 eV/atom.

CIF file:
```
data_TlSi2SnPb
_cell_length_a 5.1981
_cell_length_b 5.1981
_cell_length_c 5.7319
_cell_angle_alpha 90.00
_cell_angle_beta 90.00
_cell_angle_gamma 90.00
_symmetry_space_group_name_H-M 'P 4/m m m'
_symmetry_Int_Tables_number 123
_symmetry_space_group_name_Hall '-P 4 2'
loop_
_atom_site_label
_atom_site_type_symbol
_atom_site_fract_x
_atom_site_fract_y
_atom_site_fract_z
Tl1 Tl 0.0000 0.0000 0.0000
Si1 Si 0.0000 0.5000 0.5000
Sn1 Sn 0.0000 0.0000 0.5000
Pb1 Pb 0.5000 0.5000 0.0000
```

4.
The following is a DFT calculation (PBE) of crystalline ZnSi2SnPb at its relaxed geometry.

Summary:
The volume is 24.46 A^3/atom. Its crystal system is tetragonal. For the uncorrected energy, the calculation gives -3.3208 eV/atom.

CIF file:
```
data_ZnSi2SnPb
_cell_length_a 4.7554
_cell_length_b 4.7554
_cell_length_c 5.4085
_cell_angle_alpha 90.00
_cell_angle_beta 90.00
_cell_angle_gamma 90.00
_symmetry_space_group_name_H-M 'P 4/m m m'
_symmetry_Int_Tables_number 123
_symmetry_space_group_name_Hall '-P 4 2'
loop_
_atom_site_label
_atom_site_type_symbol
_atom_site_fract_x
_atom_site_fract_y
_atom_site_fract_z
Zn1 Zn 0.0000 0.0000 0.0000
Si1 Si 0.0000 0.5000 0.0000
Sn1 Sn 0.0000 0.0000 0.5000
Pb1 Pb 0.5000 0.5000 0.5000
```

5.
The following is a DFT calculation (PBE) of crystalline Sr2SiPb at its relaxed geometry.

Summary:
The volume is 31.51 A^3/atom. Its crystal system is tetragonal. For the uncorrected energy, the calculation gives -3.2522 eV/atom.

CIF file:
```
data_Sr2SiPb
_cell_length_a 4.7428
_cell_length_b 4.7428
_cell_length_c 11.2070
_cell_angle_alpha 90.00
_cell_angle_beta 90.00
_cell_angle_gamma 90.00
_symmetry_space_group_name_H-M 'I -4 m 2'
_symmetry_Int_Tables_number 119
_symmetry_space_group_name_Hall 'I -4 -2'
loop_
_atom_site_label
_atom_site_type_symbol
_atom_site_fract_x
_atom_site_fract_y
_atom_site_fract_z
Sr1 Sr 0.0000 0.0000 0.0000
Sr2 Sr 0.0000 0.5000 0.2500
Si1 Si 0.0000 0.0000 0.5000
Pb1 Pb 0.0000 0.5000 0.7500
```

6.
The following is a DFT calculation (PBE) of crystalline Sr2SiPb at its relaxed geometry.

Summary:
The volume is 31.40 A^3/atom. Its crystal system is cubic. For the uncorrected energy, the calculation gives -3.3939 eV/atom.

CIF file:
```
data_Sr2SiPb
_cell_length_a 7.9494
_cell_length_b 7.9494
_cell_length_c 7.9494
_cell_angle_alpha 90.00
_cell_angle_beta 90.00
_cell_angle_gamma 90.00
_symmetry_space_group_name_H-M 'F m -3 m'
_symmetry_Int_Tables_number 225
_symmetry_space_group_name_Hall '-F 4 2 3'
loop_
_atom_site_label
_atom_site_type_symbol
_atom_site_fract_x
_atom_site_fract_y
_atom_site_fract_z
Sr1 Sr 0.2500 0.2500 0.2500
Si1 Si 0.0000 0.0000 0.0000
Pb1 Pb 0.0000 0.0000 0.5000
```

7.
The following is a DFT calculation (PBE) of crystalline SrSi2Pb at its relaxed geometry.

Summary:
The volume is 27.21 A^3/atom. Its crystal system is tetragonal. For the uncorrected energy, the calculation gives -3.8579 eV/atom.

CIF file:
```
data_SrSi2Pb
_cell_length_a 8.0458
_cell_length_b 8.0458
_cell_length_c 6.7264
_cell_angle_alpha 90.00
_cell_angle_beta 90.00
_cell_angle_gamma 90.00
_symmetry_space_group_name_H-M 'I -4 2 d'
_symmetry_Int_Tables_number 122
_symmetry_space_group_name_Hall 'I -4 2bw'
loop_
_atom_site_label
_atom_site_type_symbol
_atom_site_fract_x
_atom_site_fract_y
_atom_site_fract_z
Sr1 Sr 0.0000 0.0000 0.0000
Si1 Si 0.2095 0.2500 0.6250
Pb1 Pb 0.0000 0.0000 0.5000
```

8.
The following is a DFT calculation (PBE) of crystalline SrSi2Pb at its relaxed geometry.

Summary:
The volume is 24.36 A^3/atom. Its crystal system is tetragonal. For the uncorrected energy, the calculation gives -3.9785 eV/atom.

CIF file:
```
data_SrSi2Pb
_cell_length_a 3.6581
_cell_length_b 3.6581
_cell_length_c 7.2811
_cell_angle_alpha 90.00
_cell_angle_beta 90.00
_cell_angle_gamma 90.00
_symmetry_space_group_name_H-M 'P 4 m m'
_symmetry_Int_Tables_number 99
_symmetry_space_group_name_Hall 'P 4 -2'
loop_
_atom_site_label
_atom_site_type_symbol
_atom_site_fract_x
_atom_site_fract_y
_atom_site_fract_z
Sr1 Sr 0.0000 0.0000 0.0000
Si1 Si 0.0000 0.0000 0.5867
Si2 Si 0.5000 0.5000 0.7163
Pb1 Pb 0.5000 0.5000 0.3385
```

9.
The following is a DFT calculation (PBE) of crystalline SrSiPb2 at its relaxed geometry.

Summary:
The volume is 29.28 A^3/atom. Its crystal system is monoclinic. For the uncorrected energy, the calculation gives -3.7040 eV/atom.

CIF file:
```
data_SrSiPb2
_cell_length_a 12.6720
_cell_length_b 3.7183
_cell_length_c 5.4990
_cell_angle_alpha 90.00
_cell_angle_beta 115.31
_cell_angle_gamma 90.00
_symmetry_space_group_name_H-M 'C 1 2/m 1'
_symmetry_Int_Tables_number 12
_symmetry_space_group_name_Hall '-C 2y'
loop_
_atom_site_label
_atom_site_type_symbol
_atom_site_fract_x
_atom_site_fract_y
_atom_site_fract_z
Sr1 Sr 0.0000 0.0000 0.0000
Si1 Si 0.0000 0.5000 0.5000
Pb1 Pb 0.2064 0.0000 0.7059
```

10.
The following is a DFT calculation (PBE) of crystalline SrSiPb2 at its relaxed geometry.

Summary:
The volume is 29.59 A^3/atom. Its crystal system is tetragonal. For the uncorrected energy, the calculation gives -3.6643 eV/atom.

CIF file:
```
data_SrSiPb2
_cell_length_a 4.0960
_cell_length_b 4.0960
_cell_length_c 7.0553
_cell_angle_alpha 90.00
_cell_angle_beta 90.00
_cell_angle_gamma 90.00
_symmetry_space_group_name_H-M 'P 4 m m'
_symmetry_Int_Tables_number 99
_symmetry_space_group_name_Hall 'P 4 -2'
loop_
_atom_site_label
_atom_site_type_symbol
_atom_site_fract_x
_atom_site_fract_y
_atom_site_fract_z
Sr1 Sr 0.0000 0.0000 0.0000
Si1 Si 0.5000 0.5000 0.7174
Pb1 Pb 0.0000 0.0000 0.5381
Pb2 Pb 0.5000 0.5000 0.3055
```

11.
The following is a DFT calculation (PBE) of crystalline SrSiPb2 at its relaxed geometry.

Summary:
The volume is 30.74 A^3/atom. Its crystal system is tetragonal. For the uncorrected energy, the calculation gives -3.7362 eV/atom.

CIF file:
```
data_SrSiPb2
_cell_length_a 8.5812
_cell_length_b 8.5812
_cell_length_c 6.6797
_cell_angle_alpha 90.00
_cell_angle_beta 90.00
_cell_angle_gamma 90.00
_symmetry_space_group_name_H-M 'I -4 2 d'
_symmetry_Int_Tables_number 122
_symmetry_space_group_name_Hall 'I -4 2bw'
loop_
_atom_site_label
_atom_site_type_symbol
_atom_site_fract_x
_atom_site_fract_y
_atom_site_fract_z
Sr1 Sr 0.0000 0.0000 0.0000
Si1 Si 0.0000 0.0000 0.5000
Pb1 Pb 0.1889 0.2500 0.6250
```

12.
The following is a DFT calculation (PBE) of crystalline SrSiPb2 at its relaxed geometry.

Summary:
The volume is 29.84 A^3/atom. Its crystal system is monoclinic. For the uncorrected energy, the calculation gives -3.5670 eV/atom.

CIF file:
```
data_SrSiPb2
_cell_length_a 6.6059
_cell_length_b 11.8109
_cell_length_c 3.6474
_cell_angle_alpha 90.00
_cell_angle_beta 122.98
_cell_angle_gamma 90.00
_symmetry_space_group_name_H-M 'C 1 2/m 1'
_symmetry_Int_Tables_number 12
_symmetry_space_group_name_Hall '-C 2y'
loop_
_atom_site_label
_atom_site_type_symbol
_atom_site_fract_x
_atom_site_fract_y
_atom_site_fract_z
Sr1 Sr 0.0000 0.0000 0.0000
Si1 Si 0.0000 0.5000 0.0000
Pb1 Pb 0.2500 0.2500 0.5000
```

13.
The following is a DFT calculation (PBE) of crystalline SrSi3Pb at its relaxed geometry.

Summary:
The volume is 32.90 A^3/atom. Its crystal system is cubic. For the uncorrected energy, the calculation gives -2.8953 eV/atom.

CIF file:
```
data_SrSi3Pb
_cell_length_a 5.4792
_cell_length_b 5.4792
_cell_length_c 5.4792
_cell_angle_alpha 90.00
_cell_angle_beta 90.00
_cell_angle_gamma 90.00
_symmetry_space_group_name_H-M 'P m -3 m'
_symmetry_Int_Tables_number 221
_symmetry_space_group_name_Hall '-P 4 2 3'
loop_
_atom_site_label
_atom_site_type_symbol
_atom_site_fract_x
_atom_site_fract_y
_atom_site_fract_z
Sr1 Sr 0.0000 0.0000 0.0000
Si1 Si 0.0000 0.0000 0.5000
Pb1 Pb 0.5000 0.5000 0.5000
```

14.
The following is a DFT calculation (PBE) of crystalline Sr2SiPb at its relaxed geometry.

Summary:
The volume is 30.31 A^3/atom. Its crystal system is tetragonal. For the uncorrected energy, the calculation gives -3.4136 eV/atom.

CIF file:
```
data_Sr2SiPb
_cell_length_a 5.1007
_cell_length_b 5.1007
_cell_length_c 9.3206
_cell_angle_alpha 90.00
_cell_angle_beta 90.00
_cell_angle_gamma 90.00
_symmetry_space_group_name_H-M 'I 4/m m m'
_symmetry_Int_Tables_number 139
_symmetry_space_group_name_Hall '-I 4 2'
loop_
_atom_site_label
_atom_site_type_symbol
_atom_site_fract_x
_atom_site_fract_y
_atom_site_fract_z
Sr1 Sr 0.0000 0.5000 0.2500
Si1 Si 0.0000 0.0000 0.0000
Pb1 Pb 0.0000 0.0000 0.5000
```

15.
The following is a DFT calculation (PBE) of crystalline SrSi2Pb at its relaxed geometry.

Summary:
The volume is 24.31 A^3/atom. Its crystal system is tetragonal. For the uncorrected energy, the calculation gives -3.9425 eV/atom.

CIF file:
```
data_SrSi2Pb
_cell_length_a 4.6780
_cell_length_b 4.6780
_cell_length_c 4.4428
_cell_angle_alpha 90.00
_cell_angle_beta 90.00
_cell_angle_gamma 90.00
_symmetry_space_group_name_H-M 'P 4/m m m'
_symmetry_Int_Tables_number 123
_symmetry_space_group_name_Hall '-P 4 2'
loop_
_atom_site_label
_atom_site_type_symbol
_atom_site_fract_x
_atom_site_fract_y
_atom_site_fract_z
Sr1 Sr 0.0000 0.0000 0.0000
Si1 Si 0.0000 0.5000 0.5000
Pb1 Pb 0.5000 0.5000 0.0000
```